A plane-wave DFT calculation with GGA+U was carried out for crystalline RbCr2SbO8 at its relaxed geometry.

```
data_RbCr2SbO8
_chemical_formula_sum 'Rb2 Cr4 Sb2 O16'
_symmetry_space_group_name_H-M 'C 1 2/m 1'
_symmetry_Int_Tables_number 12
_cell_length_a 9.196
_cell_length_b 5.808
_cell_length_c 8.447
_cell_angle_alpha 90.00
_cell_angle_beta 94.12
_cell_angle_gamma 90.00
loop_
_symmetry_equiv_pos_as_xyz
'x,y,z'
'-x,-y,-z'
'-x,y,-z'
'x,-y,z'
'x+1/2,y+1/2,z'
'-x+1/2,-y+1/2,-z'
'-x+1/2,y+1/2,-z'
'x+1/2,-y+1/2,z'
loop_
_atom_site_label
_atom_site_type_symbol
_atom_site_fract_x
_atom_site_fract_y
_atom_site_fract_z
Rb1 Rb 0.000 0.000 0.000
Cr1 Cr 0.127 0.500 0.290
Sb1 Sb 0.000 0.000 0.500
O1 O 0.024 0.260 0.309
O2 O 0.192 0.500 0.116
O3 O 0.237 0.000 0.565
```

Values from the calculation:
Calculated density   3.24 g/cm³
Magnetization   0.000 μB/f.u.
DFT total energy   -6.347 eV/atom